Compound: TaVInC2
Source: Alexandria via LeMat-Bulk
Functional: PBE
Structure: optimized geometry

- Calculated volume: 17.83 Å³ per atom
- M_tot: 0.00 μB per atom
- ΔH_f (0 K): 8.4 eV per formula unit

abc: 4.1598 5.1530 4.1598
angles: 90.00 90.00 90.00
Closest atoms and distances in Å follow each position.
Sites, in units of the cell vectors:
V1 0.0000 0.5000 0.0000  2 Ta 2.58
In1 0.5000 0.5000 0.5000  4 V 2.94
C1 0.0000 0.0000 0.5000  2 Ta 2.08
C2 0.5000 0.0000 0.0000  2 Ta 2.08
Ta1 0.0000 0.0000 0.0000  4 C 2.08



Compound: Ta2InWC
Source: Alexandria via LeMat-Bulk
Functional: PBE
Structure: optimized geometry

- Calculated volume: 19.90 Å³ per atom
- M_tot: 0.00 μB per atom
- ΔH_f (0 K): 13.2 eV per formula unit

abc: 5.1189 3.7980 5.1189
angles: 90.00 90.00 90.00
Closest atoms and distances in Å follow each position.
Sites, in units of the cell vectors:
C1 0.0000 0.5000 0.0000  2 In 1.90
In1 0.0000 0.0000 0.0000  2 C 1.90
W1 0.5000 0.5000 0.5000  8 Ta 3.19
Ta1 0.0000 0.0000 0.5000  2 In 2.56
Ta2 0.5000 0.0000 0.0000  2 In 2.56



Compound: Ta2InWC
Source: Alexandria via LeMat-Bulk
Functional: PBE
Structure: optimized geometry

- Calculated volume: 16.05 Å³ per atom
- M_tot: 0.00 μB per atom
- ΔH_f (0 K): 0.6 eV per formula unit

abc: 4.4149 4.1181 4.4149
angles: 90.00 90.00 90.00
Closest atoms and distances in Å follow each position.
Sites, in units of the cell vectors:
C1 0.0000 0.0000 0.0000  2 W 2.06, 4 Ta 2.21
In1 0.5000 0.5000 0.5000  8 Ta 3.02, 4 W 3.12
W1 0.0000 0.5000 0.0000  2 C 2.06
Ta1 0.0000 0.0000 0.5000  2 C 2.21
Ta2 0.5000 0.0000 0.0000  2 C 2.21



Compound: Y2TaInC
Source: Alexandria via LeMat-Bulk
Functional: PBE
Structure: optimized geometry

- Calculated volume: 21.20 Å³ per atom
- M_tot: 0.21 μB per atom
- ΔH_f (0 K): -1.6 eV per formula unit

abc: 4.9495 4.9495 4.3277
angles: 90.00 90.00 90.00
Closest atoms and distances in Å follow each position.
Sites, in units of the cell vectors:
Y1 0.0000 0.5000 0.0000  2 C 2.47
Y2 0.5000 0.0000 0.0000  2 C 2.47
C1 0.0000 0.0000 0.0000  2 Ta 2.16
In1 0.5000 0.5000 0.5000  8 Y 3.29, 4 Ta 3.50
Ta1 0.0000 0.0000 0.5000  2 C 2.16



Compound: Zr2TaInC
Source: Alexandria via LeMat-Bulk
Functional: PBE
Structure: optimized geometry

- Calculated volume: 18.38 Å³ per atom
- M_tot: 0.00 μB per atom
- ΔH_f (0 K): -2.0 eV per formula unit

abc: 4.6607 4.6607 4.2298
angles: 90.00 90.00 90.00
Closest atoms and distances in Å follow each position.
Sites, in units of the cell vectors:
C1 0.0000 0.0000 0.0000  2 Ta 2.11, 4 Zr 2.33
In1 0.5000 0.5000 0.5000  8 Zr 3.15, 4 Ta 3.30
Zr1 0.0000 0.5000 0.0000  2 C 2.33
Zr2 0.5000 0.0000 0.0000  2 C 2.33
Ta1 0.0000 0.0000 0.5000  2 C 2.11



Compound: Tb4In2C
Source: Alexandria via LeMat-Bulk
Functional: PBE
Structure: optimized geometry

- Calculated volume: 26.46 Å³ per atom
- M_tot: 0.10 μB per atom
- ΔH_f (0 K): -1.9 eV per formula unit

abc: 3.5731 8.9454 8.6053
angles: 137.68 90.00 90.00
Closest atoms and distances in Å follow each position.
Sites, in units of the cell vectors:
Tb1 0.5000 0.9343 0.7919  2 C 2.47
Tb2 0.0000 0.4391 0.2207  1 C 2.49
Tb3 0.5000 0.2085 0.3510  2 C 2.47
Tb4 0.0000 0.7037 0.9222  1 C 2.49
In1 0.5000 0.3141 0.8121  2 In 3.07-3.28, 6 Tb 3.27-3.37
In2 0.5000 0.8288 0.3309  2 In 3.07-3.28, 6 Tb 3.27-3.37
C1 0.0000 0.0714 0.0714  6 Tb 2.47-2.49



Compound: Tb4In2C
Source: Alexandria via LeMat-Bulk
Functional: PBE
Structure: optimized geometry

- Calculated volume: 26.96 Å³ per atom
- M_tot: 0.00 μB per atom
- ΔH_f (0 K): -2.5 eV per formula unit

abc: 4.9861 4.9861 8.3689
angles: 72.67 72.67 90.00
Closest atoms and distances in Å follow each position.
Sites, in units of the cell vectors:
C1 0.0000 0.0000 0.0000  6 Tb 2.46-2.49
Tb1 0.8381 0.8381 0.3239  1 C 2.46
Tb2 0.1619 0.1619 0.6761  1 C 2.46
Tb3 0.0000 0.5000 0.0000  2 C 2.49
Tb4 0.5000 0.0000 0.0000  2 C 2.49
In1 0.6304 0.6304 0.7391  5 Tb 3.15-3.18
In2 0.3696 0.3696 0.2609  5 Tb 3.15-3.18



Compound: TbInC
Source: Alexandria via LeMat-Bulk
Functional: PBE
Structure: optimized geometry

- Calculated volume: 19.57 Å³ per atom
- M_tot: 0.00 μB per atom
- ΔH_f (0 K): 1.2 eV per formula unit

abc: 4.3911 4.3911 6.8354
angles: 108.74 108.74 90.00
Closest atoms and distances in Å follow each position.
Sites, in units of the cell vectors:
Tb1 0.1167 0.1167 0.2334  4 C 2.62, 1 Tb 2.84
Tb2 0.8833 0.8833 0.7666  4 C 2.62, 1 Tb 2.84
C1 0.0000 0.5000 0.0000  4 Tb 2.62, 4 In 2.62
C2 0.5000 0.0000 0.0000  4 Tb 2.62, 4 In 2.62
In1 0.6173 0.6173 0.2346  4 C 2.62, 1 In 2.86
In2 0.3827 0.3827 0.7654  4 C 2.62, 1 In 2.86



Compound: Tb8In3C
Source: Alexandria via LeMat-Bulk
Functional: PBE
Structure: optimized geometry

- Calculated volume: 29.21 Å³ per atom
- M_tot: 0.00 μB per atom
- ΔH_f (0 K): 0.8 eV per formula unit

abc: 7.0378 7.0378 8.6520
angles: 114.00 114.00 90.00
Closest atoms and distances in Å follow each position.
Sites, in units of the cell vectors:
Tb1 0.3475 0.3475 0.2302  1 C 2.83, 3 In 3.12-3.14
Tb2 0.3475 0.8827 0.2302  1 C 2.83, 3 In 3.12-3.14
Tb3 0.1173 0.6525 0.7698  1 C 2.83, 3 In 3.12-3.14
Tb4 0.1173 0.1173 0.7698  1 C 2.83, 3 In 3.12-3.14
Tb5 0.8827 0.8827 0.2302  1 C 2.83, 3 In 3.12-3.14
Tb6 0.8827 0.3475 0.2302  1 C 2.83, 3 In 3.12-3.14
Tb7 0.6525 0.1173 0.7698  1 C 2.83, 3 In 3.12-3.14
Tb8 0.6525 0.6525 0.7698  1 C 2.83, 3 In 3.12-3.14
In1 0.7500 0.2500 0.5000  8 Tb 3.14
In2 0.5000 0.5000 0.0000  8 Tb 3.12
In3 0.2500 0.7500 0.5000  8 Tb 3.14
C1 0.0000 0.0000 0.0000  8 Tb 2.83



Compound: TbTh2InC
Source: Alexandria via LeMat-Bulk
Functional: PBE
Structure: optimized geometry

- Calculated volume: 25.78 Å³ per atom
- M_tot: 0.00 μB per atom
- ΔH_f (0 K): -1.8 eV per formula unit

abc: 5.0119 5.0713 5.0713
angles: 90.00 90.00 90.00
Closest atoms and distances in Å follow each position.
Sites, in units of the cell vectors:
Tb1 0.5000 0.0000 0.0000  2 C 2.51
Th1 0.0000 0.0000 0.5000  2 C 2.54
Th2 0.0000 0.5000 0.0000  2 C 2.54
In1 0.5000 0.5000 0.5000  8 Th 3.57, 4 Tb 3.59
C1 0.0000 0.0000 0.0000  2 Tb 2.51, 4 Th 2.54



Compound: Tb2ThInC
Source: Alexandria via LeMat-Bulk
Functional: PBE
Structure: optimized geometry

- Calculated volume: 25.09 Å³ per atom
- M_tot: 0.00 μB per atom
- ΔH_f (0 K): -2.1 eV per formula unit

abc: 5.0506 4.9835 4.9835
angles: 90.00 90.00 90.00
Closest atoms and distances in Å follow each position.
Sites, in units of the cell vectors:
Tb1 0.0000 0.0000 0.5000  2 C 2.49
Tb2 0.0000 0.5000 0.0000  2 C 2.49
Th1 0.5000 0.0000 0.0000  2 C 2.53
In1 0.5000 0.5000 0.5000  4 Th 3.52, 8 Tb 3.55
C1 0.0000 0.0000 0.0000  4 Tb 2.49, 2 Th 2.53



Compound: TbTm2InC
Source: Alexandria via LeMat-Bulk
Functional: PBE
Structure: optimized geometry

- Calculated volume: 23.20 Å³ per atom
- M_tot: 0.00 μB per atom
- ΔH_f (0 K): -2.6 eV per formula unit

abc: 4.9483 4.8420 4.8420
angles: 90.00 90.00 90.00
Closest atoms and distances in Å follow each position.
Sites, in units of the cell vectors:
Tb1 0.5000 0.0000 0.0000  2 C 2.47
Tm1 0.0000 0.0000 0.5000  2 C 2.42
Tm2 0.0000 0.5000 0.0000  2 C 2.42
In1 0.5000 0.5000 0.5000  4 Tb 3.42, 8 Tm 3.46
C1 0.0000 0.0000 0.0000  4 Tm 2.42, 2 Tb 2.47



Compound: InTcC2
Source: Alexandria via LeMat-Bulk
Functional: PBE
Structure: optimized geometry

- Calculated volume: 14.76 Å³ per atom
- M_tot: 0.00 μB per atom
- ΔH_f (0 K): 3.4 eV per formula unit

abc: 4.9744 4.9744 5.9292
angles: 65.20 65.20 90.00
Closest atoms and distances in Å follow each position.
Sites, in units of the cell vectors:
C1 0.5659 0.1250 0.2500  2 Tc 1.97
C2 0.1841 0.6250 0.2500  2 Tc 1.97
C3 0.3750 0.4341 0.7500  2 Tc 1.97
C4 0.8750 0.8159 0.7500  2 Tc 1.97
Tc1 0.5000 0.5000 0.0000  4 C 1.97
Tc2 0.2500 0.7500 0.5000  4 C 1.97
In1 0.0000 0.0000 0.0000  4 C 2.31
In2 0.7500 0.2500 0.5000  4 C 2.31